Computed, not measured: a relaxed structure of ZnCdC4S4N4 at the PBE level of DFT.

Computed properties:
Raw formation energy in eV/atom: 0.04
E in eV per atom: -6.31
Total magnetic moment in μB/cell: 0.00

```
data_ZnCdC4S4N4
_chemical_formula_sum 'Zn1 Cd1 C4 S4 N4'
_cell_length_a 8.310
_cell_length_b 8.310
_cell_length_c 8.310
_cell_angle_alpha 96.08
_cell_angle_beta 96.08
_cell_angle_gamma 142.01
_symmetry_space_group_name_H-M 'P 1'
_symmetry_Int_Tables_number 1
loop_
_symmetry_equiv_pos_as_xyz
'x,y,z'
loop_
_atom_site_label
_atom_site_fract_x
_atom_site_fract_y
_atom_site_fract_z
Zn1 0.250 0.750 0.500
Cd1 0.000 0.000 0.000
S1 0.440 0.180 0.073
S2 0.820 0.893 0.260
S3 0.107 0.368 0.927
S4 0.632 0.560 0.740
N1 0.999 0.676 0.599
N2 0.600 0.001 0.677
N3 0.077 0.400 0.401
N4 0.324 0.923 0.323
C1 0.850 0.631 0.661
C2 0.970 0.189 0.339
C3 0.369 0.030 0.219
C4 0.811 0.150 0.781
```

***

Computed, not measured: a relaxed structure of CaTl3Ag at the PBE level of DFT.

Computed properties:
E in eV per atom: -2.28
E_form in kJ per mole of atoms: 10.8
Excess energy over the best structure of this formula in the dataset in meV per atom: 231
Total magnetic moment in μB/cell: 0.00

```
data_CaTl3Ag
_chemical_formula_sum 'Ca1 Tl3 Ag1'
_cell_length_a 5.505
_cell_length_b 5.505
_cell_length_c 5.505
_cell_angle_alpha 90.00
_cell_angle_beta 90.00
_cell_angle_gamma 90.00
_symmetry_space_group_name_H-M 'P 1'
_symmetry_Int_Tables_number 1
loop_
_symmetry_equiv_pos_as_xyz
'x,y,z'
loop_
_atom_site_label
_atom_site_fract_x
_atom_site_fract_y
_atom_site_fract_z
Ca1 0.500 0.500 0.500
Tl1 0.500 0.000 0.000
Tl2 0.000 0.500 0.000
Tl3 0.000 0.000 0.500
Ag1 0.000 0.000 0.000
```

***

Computed, not measured: a relaxed structure of VGeMoRh at the PBE level of DFT.

Computed properties:
E in eV per atom: -8.25
E_form in kJ per mole of atoms: -25.8
Total magnetic moment in μB/cell: 0.00

```
data_VGeMoRh
_chemical_formula_sum 'V1 Ge1 Mo1 Rh1'
_cell_length_a 4.325
_cell_length_b 4.325
_cell_length_c 4.325
_cell_angle_alpha 60.00
_cell_angle_beta 60.00
_cell_angle_gamma 60.00
_symmetry_space_group_name_H-M 'P 1'
_symmetry_Int_Tables_number 1
loop_
_symmetry_equiv_pos_as_xyz
'x,y,z'
loop_
_atom_site_label
_atom_site_fract_x
_atom_site_fract_y
_atom_site_fract_z
V1 0.750 0.750 0.750
Rh1 0.500 0.500 0.500
Ge1 0.250 0.250 0.250
Mo1 0.000 0.000 0.000
```

***

Computed, not measured: a relaxed structure of Hf2TiPt2 at the PBE level of DFT.

Computed properties:
E in eV per atom: -8.64
E_form in kJ per mole of atoms: -63.8
Excess energy over the best structure of this formula in the dataset in meV per atom: 162
Total magnetic moment in μB/cell: 3.90

```
data_Hf2TiPt2
_chemical_formula_sum 'Hf4 Ti2 Pt4'
_cell_length_a 7.760
_cell_length_b 7.760
_cell_length_c 3.167
_cell_angle_alpha 90.00
_cell_angle_beta 90.00
_cell_angle_gamma 90.00
_symmetry_space_group_name_H-M 'P 1'
_symmetry_Int_Tables_number 1
loop_
_symmetry_equiv_pos_as_xyz
'x,y,z'
loop_
_atom_site_label
_atom_site_fract_x
_atom_site_fract_y
_atom_site_fract_z
Pt1 0.140 0.640 0.500
Pt2 0.860 0.360 0.500
Pt3 0.640 0.860 0.500
Pt4 0.360 0.140 0.500
Hf1 0.843 0.657 0.000
Hf2 0.657 0.157 0.000
Hf3 0.343 0.843 0.000
Hf4 0.157 0.343 0.000
Ti1 0.000 0.000 0.000
Ti2 0.500 0.500 0.000
```

***

Computed, not measured: a relaxed structure of FeAs2Pt at the PBE level of DFT.

Computed properties:
E in eV per atom: -5.94
E_form in kJ per mole of atoms: 1.4
Excess energy over the best structure of this formula in the dataset in meV per atom: 194
Total magnetic moment in μB/cell: 1.54

```
data_FeAs2Pt
_chemical_formula_sum 'Fe1 As2 Pt1'
_cell_length_a 2.880
_cell_length_b 2.973
_cell_length_c 7.320
_cell_angle_alpha 90.00
_cell_angle_beta 90.00
_cell_angle_gamma 90.00
_symmetry_space_group_name_H-M 'P 1'
_symmetry_Int_Tables_number 1
loop_
_symmetry_equiv_pos_as_xyz
'x,y,z'
loop_
_atom_site_label
_atom_site_fract_x
_atom_site_fract_y
_atom_site_fract_z
As1 0.000 0.750 0.045
As2 0.000 0.750 0.455
Pt1 0.500 0.750 0.750
Fe1 0.500 0.250 0.250
```

***

Computed, not measured: a relaxed structure of PmTm12Sc7 at the PBE level of DFT.

Computed properties:
E in eV per atom: -4.45
E_form in kJ per mole of atoms: 66.6
Excess energy over the best structure of this formula in the dataset in meV per atom: 418
Total magnetic moment in μB/cell: 0.01

```
data_PmTm12Sc7
_chemical_formula_sum 'Pm1 Tm12 Sc7'
_cell_length_a 9.388
_cell_length_b 9.388
_cell_length_c 9.388
_cell_angle_alpha 109.47
_cell_angle_beta 109.47
_cell_angle_gamma 109.47
_symmetry_space_group_name_H-M 'P 1'
_symmetry_Int_Tables_number 1
loop_
_symmetry_equiv_pos_as_xyz
'x,y,z'
loop_
_atom_site_label
_atom_site_fract_x
_atom_site_fract_y
_atom_site_fract_z
Sc1 0.500 0.000 0.000
Sc2 0.500 0.500 0.500
Sc3 0.500 0.000 0.500
Sc4 0.000 0.500 0.500
Sc5 0.000 0.500 0.000
Sc6 0.000 0.000 0.500
Sc7 0.500 0.500 0.000
Tm1 0.738 0.001 0.263
Tm2 0.263 0.262 0.525
Tm3 0.738 0.475 0.737
Tm4 0.262 0.999 0.737
Tm5 0.999 0.737 0.262
Tm6 0.737 0.262 0.999
Tm7 0.525 0.263 0.262
Tm8 0.263 0.738 0.001
Tm9 0.475 0.737 0.738
Tm10 0.737 0.738 0.475
Tm11 0.262 0.525 0.263
Tm12 0.001 0.263 0.738
Pm1 0.000 0.000 0.000
```

***

Computed, not measured: a relaxed structure of ZnSiSb at the PBE level of DFT.

Computed properties:
Raw formation energy in eV/atom: 0.41
E in eV per atom: -3.19
Excess energy over the best structure of this formula in the dataset in meV per atom: 164
Total magnetic moment in μB/cell: 0.00

```
data_ZnSiSb
_chemical_formula_sum 'Zn1 Si1 Sb1'
_cell_length_a 4.621
_cell_length_b 4.621
_cell_length_c 4.621
_cell_angle_alpha 60.00
_cell_angle_beta 60.00
_cell_angle_gamma 60.00
_symmetry_space_group_name_H-M 'P 1'
_symmetry_Int_Tables_number 1
loop_
_symmetry_equiv_pos_as_xyz
'x,y,z'
loop_
_atom_site_label
_atom_site_fract_x
_atom_site_fract_y
_atom_site_fract_z
Sb1 0.500 0.500 0.500
Zn1 0.000 0.000 0.000
Si1 0.250 0.250 0.250
```

***

Computed, not measured: a relaxed structure of MnCr2Ru at the PBE level of DFT.

Computed properties:
E in eV per atom: -9.27
E_form in kJ per mole of atoms: 15.1
Excess energy over the best structure of this formula in the dataset in meV per atom: 90
Total magnetic moment in μB/cell: 0.74

```
data_MnCr2Ru
_chemical_formula_sum 'Mn1 Cr2 Ru1'
_cell_length_a 4.447
_cell_length_b 4.447
_cell_length_c 4.447
_cell_angle_alpha 130.51
_cell_angle_beta 130.51
_cell_angle_gamma 72.59
_symmetry_space_group_name_H-M 'P 1'
_symmetry_Int_Tables_number 1
loop_
_symmetry_equiv_pos_as_xyz
'x,y,z'
loop_
_atom_site_label
_atom_site_fract_x
_atom_site_fract_y
_atom_site_fract_z
Mn1 0.250 0.750 0.500
Ru1 0.750 0.250 0.500
Cr1 0.000 0.000 0.000
Cr2 0.500 0.500 0.000
```

***

Computed, not measured: a relaxed structure of NbTcN2 at the PBE level of DFT.

Computed properties:
Raw formation energy in eV/atom: 0.24
E in eV per atom: -9.03
Excess energy over the best structure of this formula in the dataset in meV per atom: 508
Total magnetic moment in μB/cell: 0.00

```
data_NbTcN2
_chemical_formula_sum 'Nb1 Tc1 N2'
_cell_length_a 6.828
_cell_length_b 6.828
_cell_length_c 6.828
_cell_angle_alpha 24.75
_cell_angle_beta 24.75
_cell_angle_gamma 24.75
_symmetry_space_group_name_H-M 'P 1'
_symmetry_Int_Tables_number 1
loop_
_symmetry_equiv_pos_as_xyz
'x,y,z'
loop_
_atom_site_label
_atom_site_fract_x
_atom_site_fract_y
_atom_site_fract_z
N1 0.897 0.897 0.897
N2 0.103 0.103 0.103
Tc1 0.500 0.500 0.500
Nb1 0.000 0.000 0.000
```

***

Computed, not measured: a relaxed structure of Nd2TmCl at the PBE level of DFT.

Computed properties:
Raw formation energy in eV/atom: -0.66
E in eV per atom: -4.62
Total magnetic moment in μB/cell: 0.00

```
data_Nd2TmCl
_chemical_formula_sum 'Nd2 Tm1 Cl1'
_cell_length_a 3.655
_cell_length_b 3.655
_cell_length_c 10.536
_cell_angle_alpha 80.01
_cell_angle_beta 80.01
_cell_angle_gamma 60.00
_symmetry_space_group_name_H-M 'P 1'
_symmetry_Int_Tables_number 1
loop_
_symmetry_equiv_pos_as_xyz
'x,y,z'
loop_
_atom_site_label
_atom_site_fract_x
_atom_site_fract_y
_atom_site_fract_z
Cl1 0.000 0.000 0.000
Nd1 0.740 0.740 0.779
Nd2 0.260 0.260 0.221
Tm1 0.500 0.500 0.500
```

***

Computed, not measured: a relaxed structure of CsCrRhS3 at the PBE level of DFT.

Computed properties:
Raw formation energy in eV/atom: -0.69
E in eV per atom: -5.72
Total magnetic moment in μB/cell: 2.75

```
data_CsCrRhS3
_chemical_formula_sum 'Cs2 Cr2 Rh2 S6'
_cell_length_a 3.634
_cell_length_b 8.637
_cell_length_c 9.697
_cell_angle_alpha 117.16
_cell_angle_beta 90.00
_cell_angle_gamma 90.00
_symmetry_space_group_name_H-M 'P 1'
_symmetry_Int_Tables_number 1
loop_
_symmetry_equiv_pos_as_xyz
'x,y,z'
loop_
_atom_site_label
_atom_site_fract_x
_atom_site_fract_y
_atom_site_fract_z
S1 0.250 0.142 0.860
S2 0.250 0.520 0.880
S3 0.750 0.858 0.140
S4 0.250 0.753 0.420
S5 0.750 0.480 0.120
S6 0.750 0.247 0.580
Rh1 0.750 0.900 0.395
Rh2 0.250 0.100 0.605
Cr1 0.250 0.684 0.161
Cr2 0.750 0.316 0.839
Cs1 0.250 0.245 0.259
Cs2 0.750 0.755 0.741
```

***

Computed, not measured: a relaxed structure of SmY2Er3S6 at the PBE level of DFT.

Computed properties:
Raw formation energy in eV/atom: -1.98
E in eV per atom: -6.66
Total magnetic moment in μB/cell: 0.00

```
data_SmY2Er3S6
_chemical_formula_sum 'Sm1 Y2 Er3 S6'
_cell_length_a 6.763
_cell_length_b 6.763
_cell_length_c 6.781
_cell_angle_alpha 99.53
_cell_angle_beta 99.53
_cell_angle_gamma 120.20
_symmetry_space_group_name_H-M 'P 1'
_symmetry_Int_Tables_number 1
loop_
_symmetry_equiv_pos_as_xyz
'x,y,z'
loop_
_atom_site_label
_atom_site_fract_x
_atom_site_fract_y
_atom_site_fract_z
Er1 0.500 0.500 0.500
Er2 0.164 0.836 0.500
Er3 0.836 0.164 0.500
S1 0.575 0.914 0.742
S2 0.086 0.425 0.258
S3 0.425 0.086 0.258
S4 0.914 0.575 0.742
S5 0.747 0.747 0.257
S6 0.253 0.253 0.743
Y1 0.666 0.334 0.000
Y2 0.334 0.666 0.000
Sm1 0.000 0.000 0.000
```

***

Look up the E of the ninth one. -9.03 eV per atom